(1)
Below is Y2BePt after structural relaxation, with properties calculated at the PBE-GGA level.

Results
- Crystal system: orthorhombic
- Spin magnetization: 0.00 μB per formula unit
- DFT formation energy: -48.8 kJ per mole of atoms
- SG: Imm2, No. 44

abc: 6.2571 6.2571 4.3577
angles: 69.61 69.61 33.34
Last column: nearest neighbours and their distance in Å.
Fractional coordinates of all 4 atoms:
Y 0.0121 0.0121 0.9879  4 Be 2.94-2.95, 2 Pt 3.14-3.15
Y 0.2417 0.2417 0.2580  4 Pt 2.92, 2 Be 3.08-3.09
Be 0.4372 0.4372 0.5635  2 Pt 2.30
Pt 0.8089 0.8089 0.6906  2 Be 2.30



(2)
Below is AcCeBe2Si2 after structural relaxation, with properties calculated at the PBE-GGA level.

Results
- Crystal system: trigonal
- Uncorrected formation energy: -47.83 kJ/mol of atoms
- Spin magnetization: 0.35 μB per formula unit
- SG: P-3m1, No. 164

abc: 3.9743 3.9743 8.8251
angles: 90.00 90.00 120.00
Last column: nearest neighbours and their distance in Å.
Fractional coordinates of all 6 atoms:
Ac 0.0000 0.0000 0.0000  6 Be 3.32, 6 Si 3.32
Ce 0.0000 0.0000 0.5000  6 Si 3.05, 6 Be 3.05
Be 0.3333 0.6667 0.2718  3 Si 2.29
Be 0.6667 0.3333 0.7282  3 Si 2.29
Si 0.3333 0.6667 0.7281  3 Be 2.29
Si 0.6667 0.3333 0.2719  3 Be 2.29



(3)
Below is Pr3Ho after structural relaxation, with properties calculated at the PBE-GGA level.

Results
- Crystal system: monoclinic
- Spin magnetization: 0.00 μB per formula unit
- DFT formation energy: 3.1 kJ per mole of atoms
- Offset from the most stable computed form: 18 meV/atom
- SG: P2_1/m, No. 11

abc: 3.6977 8.7290 8.7365
angles: 94.20 90.00 90.00
Last column: nearest neighbours and their distance in Å.
Fractional coordinates of all 8 atoms:
Pr 0.7500 0.4156 0.8307  3 Ho 3.60-3.68, 9 Pr 3.63-3.71
Pr 0.7500 0.8296 0.9119  10 Pr 3.63-3.74, 2 Ho 3.65
Pr 0.7500 0.9161 0.3377  9 Pr 3.61-3.74, 3 Ho 3.67-3.70
Pr 0.2500 0.5844 0.1693  3 Ho 3.60-3.68, 9 Pr 3.63-3.71
Pr 0.2500 0.1704 0.0881  10 Pr 3.63-3.74, 2 Ho 3.65
Pr 0.2500 0.0839 0.6623  9 Pr 3.61-3.74, 3 Ho 3.67-3.70
Ho 0.2500 0.6626 0.5797  4 Ho 3.58-3.70, 8 Pr 3.60-3.70
Ho 0.7500 0.3374 0.4203  4 Ho 3.58-3.70, 8 Pr 3.60-3.70



(4)
Below is V2BH after structural relaxation, with properties calculated at the PBE-GGA level.

Results
- Crystal system: tetragonal
- Spin magnetization: 0.00 μB per formula unit
- Offset from the most stable computed form: 452 meV/atom
- SG: P4/mmm, No. 123

abc: 2.6401 3.6704 3.6704
angles: 90.00 90.00 90.00
Last column: nearest neighbours and their distance in Å.
Fractional coordinates of all 4 atoms:
H 0.5000 0.5000 0.5000  8 V 2.26
B 0.5000 0.0000 0.0000  8 V 2.26
V 0.0000 0.0000 0.5000  4 H 2.26, 4 B 2.26
V 0.0000 0.5000 0.0000  4 H 2.26, 4 B 2.26



(5)
Below is NaSr2LaNi after structural relaxation, with properties calculated at the PBE-GGA level.

Results
- Crystal system: tetragonal
- Spin magnetization: 0.00 μB per formula unit
- DFT formation energy: -2.9 kJ per mole of atoms
- SG: P4/mmm, No. 123

abc: 6.1248 6.1248 5.2872
angles: 90.00 90.00 90.00
Last column: nearest neighbours and their distance in Å.
Fractional coordinates of all 5 atoms:
Na 0.5000 0.5000 0.5000  8 Sr 4.05, 4 La 4.33
Sr 0.0000 0.5000 0.0000  2 Ni 3.06
Sr 0.5000 0.0000 0.0000  2 Ni 3.06
Ni 0.0000 0.0000 0.0000  2 La 2.64
La 0.0000 0.0000 0.5000  2 Ni 2.64



(6)
Below is LiTcCl4 after structural relaxation, with properties calculated at the PBE-GGA level.

Results
- Crystal system: monoclinic
- Uncorrected formation energy: -87.98 kJ/mol of atoms
- Spin magnetization: 4.00 μB per formula unit
- Offset from the most stable computed form: 0 meV/atom
- SG: C2/c, No. 15

abc: 6.7839 6.8175 8.6231
angles: 102.55 102.38 116.91
Last column: nearest neighbours and their distance in Å.
Fractional coordinates of all 12 atoms:
Li 0.4298 0.1798 0.8595  4 Cl 2.45-2.56
Li 0.5702 0.8202 0.1405  4 Cl 2.45-2.56
Tc 0.9312 0.6812 0.8624  4 Cl 2.32-2.43
Tc 0.0688 0.3188 0.1376  4 Cl 2.32-2.43
Cl 0.4116 0.6527 0.3418  1 Tc 2.32, 1 Li 2.45
Cl 0.7141 0.9743 0.9158  1 Tc 2.43, 1 Li 2.56
Cl 0.0698 0.8109 0.6582  1 Tc 2.32, 1 Li 2.45
Cl 0.7983 0.5584 0.0842  1 Tc 2.43, 1 Li 2.56
Cl 0.5884 0.3473 0.6582  1 Tc 2.32, 1 Li 2.45
Cl 0.9302 0.1891 0.3418  1 Tc 2.32, 1 Li 2.45
Cl 0.2859 0.0257 0.0842  1 Tc 2.43, 1 Li 2.56
Cl 0.2017 0.4416 0.9158  1 Tc 2.43, 1 Li 2.56



(7)
Below is AuINF2 after structural relaxation, with properties calculated at the PBE-GGA level.

Results
- Crystal system: tetragonal
- Uncorrected formation energy: 44.01 kJ/mol of atoms
- Spin magnetization: 0.04 μB per formula unit
- Offset from the most stable computed form: 0 meV/atom
- SG: P4/mmm, No. 123

abc: 4.2739 4.2739 4.3994
angles: 90.00 90.00 90.00
Last column: nearest neighbours and their distance in Å.
Fractional coordinates of all 5 atoms:
I 0.5000 0.5000 0.5000  4 N 3.02, 8 F 3.07
N 0.0000 0.0000 0.5000  2 Au 2.20
Au 0.0000 0.0000 0.0000  4 F 2.14, 2 N 2.20
F 0.0000 0.5000 0.0000  2 Au 2.14
F 0.5000 0.0000 0.0000  2 Au 2.14



(8)
Below is TaV2CoRe after structural relaxation, with properties calculated at the PBE-GGA level.

Results
- Crystal system: tetragonal
- Spin magnetization: 0.00 μB per formula unit
- DFT formation energy: 84.6 kJ per mole of atoms
- SG: P4/mmm, No. 123

abc: 4.1537 4.6784 4.1537
angles: 90.00 90.00 90.00
Last column: nearest neighbours and their distance in Å.
Fractional coordinates of all 5 atoms:
Re 0.5000 0.5000 0.5000  4 Ta 2.94, 8 V 3.13
V 0.0000 0.0000 0.5000  2 Co 2.08
V 0.5000 0.0000 0.0000  2 Co 2.08
Co 0.0000 0.0000 0.0000  4 V 2.08
Ta 0.0000 0.5000 0.0000  2 Co 2.34



(9)
Below is KNa17Ca after structural relaxation, with properties calculated at the PBE-GGA level.

Results
- Crystal system: trigonal
- Spin magnetization: 0.00 μB per formula unit
- DFT formation energy: 4.0 kJ per mole of atoms
- SG: R3m, No. 160

abc: 9.2499 9.2499 9.2499
angles: 77.89 77.89 77.89
Last column: nearest neighbours and their distance in Å.
Fractional coordinates of all 19 atoms:
K 0.6694 0.6694 0.6694  12 Na 4.07-4.30
Na 0.3079 0.0079 0.6859  6 Na 3.49-3.74
Na 0.6859 0.3079 0.0079  6 Na 3.49-3.74
Na 0.0079 0.6859 0.3079  6 Na 3.49-3.74
Na 0.3079 0.6859 0.0079  6 Na 3.49-3.74
Na 0.0079 0.3079 0.6859  6 Na 3.49-3.74
Na 0.6859 0.0079 0.3079  6 Na 3.49-3.74
Na 0.3293 0.9018 0.3293  7 Na 3.37-3.59
Na 0.3293 0.3293 0.9018  7 Na 3.37-3.59
Na 0.9018 0.3293 0.3293  7 Na 3.37-3.59
Na 0.6028 0.2430 0.6028  6 Na 3.44-3.81
Na 0.6028 0.6028 0.2430  6 Na 3.44-3.81
Na 0.2430 0.6028 0.6028  6 Na 3.44-3.81
Na 0.9739 0.5376 0.9739  9 Na 3.43-3.81
Na 0.9739 0.9739 0.5376  9 Na 3.43-3.81
Na 0.5376 0.9739 0.9739  9 Na 3.43-3.81
Na 0.9215 0.9215 0.9215  4 Na 3.31-3.43
Na 0.0947 0.0947 0.0947  4 Na 3.31-3.37
Ca 0.3167 0.3167 0.3167  13 Na 3.79-4.24



(10)
Below is NaNi2Rh after structural relaxation, with properties calculated at the PBE-GGA level.

Results
- Crystal system: cubic
- Spin magnetization: 1.97 μB per formula unit
- DFT formation energy: 44.1 kJ per mole of atoms
- Offset from the most stable computed form: 0 meV/atom
- SG: Fm-3m, No. 225

abc: 4.2759 4.2759 4.2759
angles: 60.00 60.00 60.00
Last column: nearest neighbours and their distance in Å.
Fractional coordinates of all 4 atoms:
Ni 0.2500 0.2500 0.2500  4 Rh 2.62, 4 Na 2.62
Ni 0.7500 0.7500 0.7500  4 Na 2.62, 4 Rh 2.62
Rh 0.5000 0.5000 0.5000  8 Ni 2.62
Na 0.0000 0.0000 0.0000  8 Ni 2.62



(11)
Below is Ce3HPt2 after structural relaxation, with properties calculated at the PBE-GGA level.

Results
- Crystal system: monoclinic
- Spin magnetization: 2.64 μB per formula unit
- Energy: -75.15 eV/cell
- SG: C2/m, No. 12

abc: 7.0821 7.0838 6.9186
angles: 80.19 70.07 60.01
Last column: nearest neighbours and their distance in Å.
Fractional coordinates of all 12 atoms:
Ce 0.4204 0.6604 0.7578  2 H 2.82, 4 Pt 2.87-2.91
Ce 0.2585 0.0000 0.2434  2 H 2.82, 4 Pt 2.85-2.90
Ce 0.5796 0.3396 0.2422  2 H 2.82, 4 Pt 2.87-2.91
Ce 0.9192 0.6604 0.2422  2 H 2.82, 4 Pt 2.87-2.91
Ce 0.0808 0.3396 0.7578  2 H 2.82, 4 Pt 2.87-2.91
Ce 0.7415 0.0000 0.7566  2 H 2.82, 4 Pt 2.85-2.90
H 0.6665 0.6671 0.0000  6 Ce 2.82
H 0.3335 0.3329 0.0000  6 Ce 2.82
Pt 0.0000 0.0000 0.0000  6 Ce 2.88
Pt 0.5000 0.0000 0.5000  6 Ce 2.85-2.91
Pt 0.1656 0.6688 0.5000  6 Ce 2.87-2.91
Pt 0.8344 0.3312 0.5000  6 Ce 2.87-2.91



(12)
Below is CoSi2Pd after structural relaxation, with properties calculated at the PBE-GGA level.

Results
- Crystal system: trigonal
- Uncorrected formation energy: -21.46 kJ/mol of atoms
- Spin magnetization: 0.00 μB per formula unit
- Offset from the most stable computed form: 144 meV/atom
- SG: R-3m, No. 166

abc: 3.8931 3.8931 4.6020
angles: 64.98 64.98 60.00
Last column: nearest neighbours and their distance in Å.
Fractional coordinates of all 4 atoms:
Si 0.2247 0.2247 0.3260  3 Co 2.35, 3 Pd 2.60
Si 0.7753 0.7753 0.6740  3 Co 2.35, 3 Pd 2.60
Co 0.5000 0.5000 0.5000  6 Si 2.35
Pd 0.0000 0.0000 0.0000  8 Si 2.60-2.71



(13)
Below is TbDyHo2N4 after structural relaxation, with properties calculated at the PBE-GGA level.

Results
- Crystal system: monoclinic
- Uncorrected formation energy: -165.39 kJ/mol of atoms
- Spin magnetization: 0.00 μB per formula unit
- SG: P2/m, No. 10

abc: 3.4688 6.0058 6.0060
angles: 109.45 90.00 90.00
Last column: nearest neighbours and their distance in Å.
Fractional coordinates of all 8 atoms:
Tb 0.5000 0.5000 0.0000  6 N 2.46
Dy 0.0000 0.0000 0.0000  6 N 2.46
Ho 0.5000 0.0000 0.5000  6 N 2.44
Ho 0.0000 0.5000 0.5000  6 N 2.45
N 0.5000 0.2499 0.2519  3 Ho 2.44-2.45, 2 Dy 2.46, 1 Tb 2.46
N 0.5000 0.7501 0.7481  3 Ho 2.44-2.45, 2 Dy 2.46, 1 Tb 2.46
N 0.0000 0.2486 0.7476  3 Ho 2.44-2.45, 1 Dy 2.46, 2 Tb 2.46
N 0.0000 0.7514 0.2524  3 Ho 2.44-2.45, 1 Dy 2.46, 2 Tb 2.46